Record 1
RbSeBr6 (PBE, relaxed); space-group type = P-1 (2); energy relative to the elements, uncorrected = -3.54 eV per formula unit; polymorph energy (0 for the lowest one) = 0 meV/atom; crystal system = triclinic
1.0
6.528 0.000 0.000
-1.372 6.461 0.000
-2.949 -1.903 6.781
Rb Se Br
1 1 6
Direct
0.000 0.000 0.000
0.000 0.500 0.500
0.207 0.199 0.558
0.214 0.604 0.288
0.347 0.761 0.819
0.653 0.239 0.181
0.786 0.396 0.712
0.793 0.801 0.442

---

Record 2
RbSe2Br (PBE, relaxed); space-group type = R-3m (166); energy relative to the elements, uncorrected = -0.90 eV per formula unit; polymorph energy (0 for the lowest one) = 598 meV/atom; crystal system = trigonal
1.0
2.582 1.491 6.031
-2.582 1.491 6.031
0.000 -2.981 6.031
Rb Se Br
1 2 1
Direct
0.000 0.000 0.000
0.181 0.181 0.181
0.819 0.819 0.819
0.500 0.500 0.500

---

Record 3
RbSe2Br8 (PBE, relaxed); space-group type = P-3 (147); energy relative to the elements, uncorrected = -3.30 eV per formula unit; polymorph energy (0 for the lowest one) = 49 meV/atom; crystal system = trigonal
1.0
9.874 0.000 0.000
-4.937 8.551 0.000
0.000 0.000 5.511
Rb Se Br
1 2 8
Direct
0.000 0.000 0.000
0.333 0.667 0.273
0.667 0.333 0.727
0.185 0.375 0.286
0.190 0.815 0.286
0.333 0.667 0.783
0.375 0.190 0.714
0.625 0.810 0.286
0.667 0.333 0.217
0.810 0.185 0.714
0.815 0.625 0.714

---

Record 4
Rb12Se5Br3 (PBE, relaxed); space-group type = Ia-3d (230); energy relative to the elements, uncorrected = -21.55 eV per formula unit; crystal system = cubic
1.0
-10.170 10.170 10.170
10.170 -10.170 10.170
10.170 10.170 -10.170
Rb Se Br
48 20 12
Direct
0.040 0.215 0.120
0.040 0.325 0.920
0.080 0.620 0.405
0.080 0.960 0.675
0.095 0.715 0.675
0.095 0.880 0.420
0.120 0.040 0.215
0.120 0.580 0.905
0.175 0.215 0.595
0.175 0.460 0.580
0.215 0.120 0.040
0.215 0.595 0.175
0.285 0.325 0.905
0.285 0.460 0.380
0.325 0.905 0.285
0.325 0.920 0.040
0.380 0.285 0.460
0.380 0.595 0.920
0.405 0.080 0.620
0.405 0.825 0.785
0.420 0.095 0.880
0.420 0.825 0.540
0.460 0.380 0.285
0.460 0.580 0.175
0.540 0.420 0.825
0.540 0.620 0.715
0.580 0.175 0.460
0.580 0.905 0.120
0.595 0.175 0.215
0.595 0.920 0.380
0.620 0.405 0.080
0.620 0.715 0.540
0.675 0.080 0.960
0.675 0.095 0.715
0.715 0.540 0.620
0.715 0.675 0.095
0.785 0.405 0.825
0.785 0.880 0.960
0.825 0.540 0.420
0.825 0.785 0.405
0.880 0.420 0.095
0.880 0.960 0.785
0.905 0.120 0.580
0.905 0.285 0.325
0.920 0.040 0.325
0.920 0.380 0.595
0.960 0.675 0.080
0.960 0.785 0.880
0.000 0.000 0.000
0.000 0.000 0.500
0.000 0.500 0.000
0.000 0.500 0.500
0.125 0.750 0.875
0.125 0.875 0.250
0.250 0.125 0.875
0.250 0.625 0.375
0.375 0.250 0.625
0.375 0.625 0.750
0.500 0.000 0.000
0.500 0.000 0.500
0.500 0.500 0.000
0.500 0.500 0.500
0.625 0.375 0.250
0.625 0.750 0.375
0.750 0.375 0.625
0.750 0.875 0.125
0.875 0.125 0.750
0.875 0.250 0.125
0.125 0.250 0.375
0.125 0.375 0.750
0.250 0.375 0.125
0.250 0.875 0.625
0.375 0.125 0.250
0.375 0.750 0.125
0.625 0.250 0.875
0.625 0.875 0.750
0.750 0.125 0.375
0.750 0.625 0.875
0.875 0.625 0.250
0.875 0.750 0.625

---

Record 5
Rb4SeBr2 (PBE, relaxed); space-group type = I4/mmm (139); energy relative to the elements, uncorrected = -9.10 eV per formula unit; polymorph energy (0 for the lowest one) = 106 meV/atom; crystal system = tetragonal
1.0
-3.226 3.226 9.082
3.226 -3.226 9.082
3.226 3.226 -9.082
Rb Se Br
4 1 2
Direct
0.000 0.500 0.500
0.178 0.178 0.000
0.500 0.000 0.500
0.822 0.822 0.000
0.000 0.000 0.000
0.362 0.362 0.000
0.638 0.638 0.000

---

Record 6
RbSe2Br4 (PBE, relaxed); space-group type = C2 (5); energy relative to the elements, uncorrected = -3.42 eV per formula unit; crystal system = monoclinic
1.0
5.873 -6.020 0.000
5.873 6.020 0.000
-5.871 0.000 9.413
Rb Se Br
2 4 8
Direct
0.000 0.000 0.000
0.750 0.250 0.500
0.376 0.534 0.776
0.399 0.241 0.776
0.466 0.624 0.224
0.759 0.601 0.224
0.089 0.570 0.799
0.093 0.117 0.740
0.377 0.354 0.259
0.430 0.911 0.201
0.646 0.623 0.741
0.709 0.229 0.799
0.771 0.291 0.201
0.883 0.907 0.260